Record 1
The following is a PBE calculation of AcErIn3 after structural relaxation, from Alexandria.

Geometry as POSCAR:
```
AcErIn3
1.0
4.724 0.000 0.000
0.000 4.463 0.000
0.000 -2.232 14.365
In Ac Er
6 2 2
Direct
0.250 0.686 0.372
0.750 0.314 0.628
0.750 0.526 0.052
0.250 0.374 0.748
0.750 0.626 0.252
0.250 0.474 0.948
0.250 0.078 0.156
0.750 0.922 0.844
0.250 0.794 0.588
0.750 0.206 0.412
```

Values from the calculation:
Space group: Cmcm
Energy (eV/atom): -3.78
Total magnetization (μB/cell): 0.0
N(E_F) (states/eV/atom): 0.683
ΔH_f (0 K) (eV per atom): -0.4045

---

Record 2
The following is a PBE calculation of CoRe2Br after structural relaxation, from Alexandria.

Geometry as POSCAR:
```
CoRe2Br
1.0
-2.354 -2.102 -2.548
-2.999 -2.698 0.422
-4.913 4.727 -0.119
Re Co Br
2 1 1
Direct
0.783 0.783 0.828
0.053 0.053 0.000
0.335 0.335 0.163
0.328 0.328 0.509
```

Values from the calculation:
Space group: Cm
Energy (eV/atom): -7.69
ΔE_f (raw) (eV/atom): 0.731
Energy above the most stable polymorph in this dataset (meV/atom): 191
Total magnetization (μB/cell): 0.7
N(E_F) (states/eV/atom): 0.849

---

Record 3
The following is a PBE calculation of Cr3InI after structural relaxation, from Alexandria.

Geometry as POSCAR:
```
Cr3InI
1.0
-4.863 1.825 0.433
-1.826 -4.881 0.074
0.431 -0.083 5.194
Cr I In
3 1 1
Direct
0.500 0.000 0.000
0.000 0.000 0.500
0.000 0.500 0.000
0.500 0.500 0.500
0.000 0.000 0.000
```

Values from the calculation:
Space group: Pm-3m
Energy (eV/atom): -5.40
ΔE_f (raw) (eV/atom): 1.231
Energy above the most stable polymorph in this dataset (meV/atom): 0
Total magnetization (μB/cell): 12.4
N(E_F) (states/eV/atom): 0.927

---

Record 4
The following is a PBE calculation of BaMg2Ni after structural relaxation, from Alexandria.

Geometry as POSCAR:
```
BaMg2Ni
1.0
-2.867 0.071 -3.137
-2.818 -4.018 2.485
-3.855 1.611 3.560
Ni Mg Ba
1 2 1
Direct
0.500 0.250 0.250
0.000 0.089 0.088
0.000 0.411 0.412
0.500 0.750 0.750
```

Values from the calculation:
Space group: P2/m
Energy (eV/atom): -2.66
Total magnetization (μB/cell): 0.0
N(E_F) (states/eV/atom): 0.708
ΔH_f (0 K) (eV per atom): 0.0661